1.
The following is a PBE calculation of a relaxed structure of Tb2Pt3Rh3, from Alexandria via LeMat-Bulk.

Density (Mg/m³): 14.70
Crystal system: orthorhombic
DOS(E_F) (states/eV per cell): 9.44
Space group: Pmmm
Final energy (eV/atom): -6.937
Formation energy (eV/atom): -0.7570

Lattice parameters (Å, degrees): 4.0946 4.1233 8.1062 90.00 90.00 90.00
Positions (direct):
1 Tb 0.0000 0.0000 0.2473
2 Tb 0.0000 0.0000 0.7527
3 Pt 0.0000 0.5000 0.5000
4 Pt 0.5000 0.5000 0.2487
5 Pt 0.5000 0.5000 0.7513
6 Rh 0.0000 0.5000 0.0000
7 Rh 0.5000 0.0000 0.0000
8 Rh 0.5000 0.0000 0.5000

---

2.
The following is a PBE calculation of a relaxed structure of Tb2Pt15Rh2, from Alexandria via LeMat-Bulk.

Density (Mg/m³): 17.40
Crystal system: trigonal
DOS(E_F) (states/eV per cell): 22.87
Space group: R-3m
Final energy (eV/atom): -6.399
Formation energy (eV/atom): -0.3692

Lattice parameters (Å, degrees): 6.9556 6.9556 6.9556 82.86 82.86 82.86
Positions (direct):
1 Tb 0.1688 0.1688 0.1688
2 Tb 0.8312 0.8312 0.8312
3 Pt 0.0000 0.5000 0.5000
4 Pt 0.1520 0.1520 0.6587
5 Pt 0.1520 0.6587 0.1520
6 Pt 0.1920 0.5000 0.8080
7 Pt 0.1920 0.8080 0.5000
8 Pt 0.3413 0.8480 0.8480
9 Pt 0.5000 0.0000 0.5000
10 Pt 0.5000 0.1920 0.8080
11 Pt 0.5000 0.5000 0.0000
12 Pt 0.5000 0.8080 0.1920
13 Pt 0.6587 0.1520 0.1520
14 Pt 0.8080 0.1920 0.5000
15 Pt 0.8080 0.5000 0.1920
16 Pt 0.8480 0.3413 0.8480
17 Pt 0.8480 0.8480 0.3413
18 Rh 0.3990 0.3990 0.3990
19 Rh 0.6010 0.6010 0.6010

---

3.
The following is a PBE calculation of a relaxed structure of Tb4Pt3Rh, from Alexandria via LeMat-Bulk.

Density (Mg/m³): 12.35
Crystal system: orthorhombic
DOS(E_F) (states/eV per cell): 4.30
Space group: Pmm2
Final energy (eV/atom): -6.660
Formation energy (eV/atom): -1.1604

Lattice parameters (Å, degrees): 3.7866 4.4315 10.6061 90.00 90.00 90.00
Positions (direct):
1 Tb 0.0000 0.0000 0.0000
2 Tb 0.0000 0.5000 0.2742
3 Tb 0.5000 0.0000 0.4929
4 Tb 0.5000 0.5000 0.7747
5 Pt 0.0000 0.0000 0.7240
6 Pt 0.0000 0.5000 0.5492
7 Pt 0.5000 0.5000 0.0505
8 Rh 0.5000 0.0000 0.2258

---

4.
The following is a PBE calculation of a relaxed structure of Tb8Pt2Rh, from Alexandria via LeMat-Bulk.

Density (Mg/m³): 10.18
Crystal system: monoclinic
DOS(E_F) (states/eV per cell): 12.02
Space group: C2/m
Final energy (eV/atom): -5.770
Formation energy (eV/atom): -0.6356
Offset from the most stable computed form (kJ/mol of formula units): 0

Lattice parameters (Å, degrees): 9.0324 9.0324 6.8047 102.46 102.46 32.13
Positions (direct):
1 Tb 0.0329 0.0329 0.2844
2 Tb 0.2052 0.2052 0.8232
3 Tb 0.3357 0.3357 0.5293
4 Tb 0.4106 0.4106 0.0542
5 Tb 0.5894 0.5894 0.9458
6 Tb 0.6643 0.6643 0.4707
7 Tb 0.7948 0.7948 0.1768
8 Tb 0.9671 0.9671 0.7156
9 Pt 0.1936 0.1936 0.2303
10 Pt 0.8064 0.8064 0.7697
11 Rh 0.5000 0.5000 0.5000

---

5.
The following is a PBE calculation of a relaxed structure of Tb2Pt4Rh, from Alexandria via LeMat-Bulk.

Density (Mg/m³): 14.72
Crystal system: tetragonal
DOS(E_F) (states/eV per cell): 5.61
Space group: I4/mmm
Final energy (eV/atom): -6.716
Formation energy (eV/atom): -0.8915

Lattice parameters (Å, degrees): 5.8280 5.8280 5.8280 121.99 121.99 86.59
Positions (direct):
1 Tb 0.0000 0.5000 0.5000
2 Tb 0.5000 0.0000 0.5000
3 Pt 0.0000 0.0000 0.5000
4 Pt 0.0000 0.5000 0.0000
5 Pt 0.5000 0.0000 0.0000
6 Pt 0.5000 0.5000 0.5000
7 Rh 0.0000 0.0000 0.0000

---

6.
The following is a PBE calculation of a relaxed structure of TbPtRh4, from Alexandria via LeMat-Bulk.

Density (Mg/m³): 12.67
Crystal system: cubic
DOS(E_F) (states/eV per cell): 12.05
Space group: F-43m
Final energy (eV/atom): -6.964
Formation energy (eV/atom): -0.2844

Lattice parameters (Å, degrees): 5.2164 5.2164 5.2164 60.00 60.00 60.00
Positions (direct):
1 Tb 0.0000 0.0000 0.0000
2 Pt 0.7500 0.7500 0.7500
3 Rh 0.3756 0.3756 0.3756
4 Rh 0.3756 0.3756 0.8731
5 Rh 0.3756 0.8731 0.3756
6 Rh 0.8731 0.3756 0.3756

---

7.
The following is a PBE calculation of a relaxed structure of Tb4PtRh2, from Alexandria via LeMat-Bulk.

Density (Mg/m³): 10.55
Crystal system: trigonal
DOS(E_F) (states/eV per cell): 3.30
Space group: R-3m
Final energy (eV/atom): -6.460
Formation energy (eV/atom): -0.8511

Lattice parameters (Å, degrees): 8.4840 8.4840 8.4840 33.21 33.21 33.21
Positions (direct):
1 Tb 0.1233 0.1233 0.1233
2 Tb 0.3743 0.3743 0.3743
3 Tb 0.6257 0.6257 0.6257
4 Tb 0.8767 0.8767 0.8767
5 Pt 0.5000 0.5000 0.5000
6 Rh 0.2498 0.2498 0.2498
7 Rh 0.7502 0.7502 0.7502

---

8.
The following is a PBE calculation of a relaxed structure of Tb3PtRh8, from Alexandria via LeMat-Bulk.

Density (Mg/m³): 11.83
Crystal system: trigonal
DOS(E_F) (states/eV per cell): 13.75
Space group: R3m
Final energy (eV/atom): -7.108
Formation energy (eV/atom): -0.5456

Lattice parameters (Å, degrees): 9.1788 9.1788 9.1788 33.50 33.50 33.50
Positions (direct):
1 Tb 0.0000 0.0000 0.0000
2 Tb 0.1313 0.1313 0.1313
3 Tb 0.5182 0.5182 0.5182
4 Pt 0.6417 0.6417 0.6417
5 Rh 0.0689 0.5677 0.5677
6 Rh 0.0699 0.0699 0.5688
7 Rh 0.0699 0.5688 0.0699
8 Rh 0.3182 0.3182 0.3182
9 Rh 0.5677 0.0689 0.5677
10 Rh 0.5677 0.5677 0.0689
11 Rh 0.5688 0.0699 0.0699
12 Rh 0.8188 0.8188 0.8188